MnRhO3: relaxed, PBE+U.

abc: 3.8709 3.8709 3.8709
angles: 90.00 90.00 90.00
Last column: magnetic moment on the atom in μB.
Positions (direct):
O (0.0000, 0.5000, 0.0000)  -0.04
O (0.5000, 0.0000, 0.0000)  -0.24
O (0.0000, 0.0000, 0.5000)  -0.01
Rh (0.0000, 0.0000, 0.0000)  -0.79
Mn (0.5000, 0.5000, 0.5000)  4.68

Summary:
* symmetry: Pm-3m
* final energy: -0.476 Ry/atom
* mass density: 5.89 Mg/m³